Record 1
{
  "formula": "BaHfV3",
  "functional": "PBE",
  "state": "relaxed",
  "energy_ev_per_atom": -5.64,
  "space_group": "Pm-3m",
  "e_form_ev_per_atom": 2.206,
  "dos_ef_per_ev_atom": 1.838,
  "e_above_lowest_polymorph_kj_per_mol_fu": 407,
  "cell": [[4.7845, 0.0000, 0.0000], [0.0000, 4.7845, 0.0000], [0.0000, 0.0000, 4.7845]],
  "species": ["Hf", "Ba", "V", "V", "V"],
  "fractional_positions": [[0.5000, 0.5000, 0.5000], [0.0000, 0.0000, 0.0000], [0.0000, 0.5000, 0.0000], [0.0000, 0.0000, 0.5000], [0.5000, 0.0000, 0.0000]]
}

Record 2
{
  "formula": "BaHf2V",
  "functional": "PBE",
  "state": "relaxed",
  "energy_ev_per_atom": -6.78,
  "space_group": "Fm-3m",
  "e_form_ev_per_atom": 0.960,
  "dos_ef_per_ev_atom": 1.778,
  "e_above_lowest_polymorph_kj_per_mol_fu": 0,
  "cell": [[0.0000, 3.6481, 3.6481], [3.6481, 0.0000, 3.6481], [3.6481, 3.6481, 0.0000]],
  "species": ["Hf", "Hf", "Ba", "V"],
  "fractional_positions": [[0.2500, 0.2500, 0.2500], [0.7500, 0.7500, 0.7500], [0.5000, 0.5000, 0.5000], [0.0000, 0.0000, 0.0000]]
}

Record 3
{
  "formula": "Ba2HfW",
  "functional": "PBE",
  "state": "relaxed",
  "energy_ev_per_atom": -5.08,
  "space_group": "Fm-3m",
  "e_form_ev_per_atom": 1.603,
  "dos_ef_per_ev_atom": 0.868,
  "cell": [[0.0000, 3.8620, 3.8620], [3.8620, 0.0000, 3.8620], [3.8620, 3.8620, 0.0000]],
  "species": ["Hf", "Ba", "Ba", "W"],
  "fractional_positions": [[0.0000, 0.0000, 0.0000], [0.2500, 0.2500, 0.2500], [0.7500, 0.7500, 0.7500], [0.5000, 0.5000, 0.5000]]
}

Record 4
{
  "formula": "BaHfW2",
  "functional": "PBE",
  "state": "relaxed",
  "energy_ev_per_atom": -7.90,
  "space_group": "I-42d",
  "e_form_ev_per_atom": 1.548,
  "dos_ef_per_ev_atom": 1.384,
  "e_above_lowest_polymorph_kj_per_mol_fu": 52,
  "cell": [[5.0436, 0.0000, 0.0000], [0.0000, 5.0436, 0.0000], [2.5218, 2.5218, 9.6531]],
  "species": ["Hf", "Hf", "Ba", "Ba", "W", "W", "W", "W"],
  "fractional_positions": [[0.0000, 0.0000, 0.0000], [0.7500, 0.2500, 0.5000], [0.5000, 0.5000, 0.0000], [0.2500, 0.7500, 0.5000], [0.8968, 0.1250, 0.2500], [0.8532, 0.6250, 0.2500], [0.3750, 0.1032, 0.7500], [0.8750, 0.1468, 0.7500]]
}

Record 5
{
  "formula": "BaHf3W",
  "functional": "PBE",
  "state": "relaxed",
  "energy_ev_per_atom": -6.25,
  "space_group": "Pm-3m",
  "e_form_ev_per_atom": 2.693,
  "dos_ef_per_ev_atom": 1.783,
  "e_above_lowest_polymorph_kj_per_mol_fu": 948,
  "cell": [[5.1121, 0.0000, 0.0000], [0.0000, 5.1121, 0.0000], [0.0000, 0.0000, 5.1121]],
  "species": ["Hf", "Hf", "Hf", "Ba", "W"],
  "fractional_positions": [[0.0000, 0.5000, 0.0000], [0.0000, 0.0000, 0.5000], [0.5000, 0.0000, 0.0000], [0.0000, 0.0000, 0.0000], [0.5000, 0.5000, 0.5000]]
}

Record 6
{
  "formula": "BaHfW2",
  "functional": "PBE",
  "state": "relaxed",
  "energy_ev_per_atom": -8.03,
  "space_group": "Fm-3m",
  "e_form_ev_per_atom": 1.413,
  "dos_ef_per_ev_atom": 1.886,
  "e_above_lowest_polymorph_kj_per_mol_fu": 0,
  "cell": [[-2.5389, -2.4083, 3.5087], [-1.7744, 2.4712, 3.9117], [-4.8797, 0.7260, 0.4668]],
  "species": ["Hf", "Ba", "W", "W"],
  "fractional_positions": [[0.5000, 0.5000, 0.5000], [0.0000, 0.0000, 0.0000], [0.2500, 0.2500, 0.2500], [0.7500, 0.7500, 0.7500]]
}

Record 7
{
  "formula": "BaHf3W",
  "functional": "PBE",
  "state": "relaxed",
  "energy_ev_per_atom": -8.22,
  "space_group": "Pm-3m",
  "e_form_ev_per_atom": 0.728,
  "dos_ef_per_ev_atom": 1.535,
  "e_above_lowest_polymorph_kj_per_mol_fu": 0,
  "cell": [[-0.8636, 3.5579, 3.7606], [-4.1474, -2.7573, 1.6562], [3.0984, -2.6991, 3.2652]],
  "species": ["Hf", "Hf", "Hf", "Ba", "W"],
  "fractional_positions": [[0.0000, 0.5000, 0.0000], [0.0000, 0.0000, 0.5000], [0.5000, 0.0000, 0.0000], [0.5000, 0.5000, 0.5000], [0.0000, 0.0000, 0.0000]]
}

Record 8
{
  "formula": "BaY3Hf",
  "functional": "PBE",
  "state": "relaxed",
  "energy_ev_per_atom": -5.78,
  "space_group": "Pm-3m",
  "e_form_ev_per_atom": 0.477,
  "dos_ef_per_ev_atom": 0.916,
  "e_above_lowest_polymorph_kj_per_mol_fu": 0,
  "cell": [[-1.7292, -4.4546, -3.2772], [0.7957, -3.5983, 4.4713], [-5.4727, 0.8844, 1.6856]],
  "species": ["Y", "Y", "Y", "Hf", "Ba"],
  "fractional_positions": [[0.0000, 0.5000, 0.0000], [0.0000, 0.0000, 0.5000], [0.5000, 0.0000, 0.0000], [0.0000, 0.0000, 0.0000], [0.5000, 0.5000, 0.5000]]
}